[1]
DFT (PBE) results for a relaxed Pu3CuRh crystal.

Geometry as POSCAR:
```
Pu3CuRh
1.0
6.5057 0.3536 -0.2674
-1.4398 6.3542 0.2674
-2.9592 -3.0320 5.1909
Pu Cu Rh
6 2 2
Direct
0.8112 0.0537 0.2449
0.1912 0.4337 0.2449
0.8088 0.5663 0.7551
0.7759 0.4144 0.1903
0.1888 0.9463 0.7551
0.2241 0.5856 0.8097
0.7000 0.0417 0.7417
0.3000 0.9583 0.2583
0.6112 0.7314 0.3425
0.3888 0.2686 0.6575
```

For the formation energy, the calculation gives 0.0635 eV per atom. Its total energy is -10.825 eV/atom. As for the magnetization: 11.36 μB/cell.

=====

[2]
DFT (PBE) results for a relaxed Pu4CuRh2 crystal.

Geometry as POSCAR:
```
Pu4CuRh2
1.0
-4.5615 -1.5665 0.3185
-1.1518 -4.4227 -1.5733
-0.6022 -4.5326 5.7581
Pu Cu Rh
4 1 2
Direct
0.4259 0.4259 0.7224
0.2689 0.2689 0.1933
0.7311 0.7311 0.8067
0.5741 0.5741 0.2776
0.0000 0.0000 0.0000
0.1319 0.1319 0.6044
0.8681 0.8681 0.3956
```

For the formation energy, the calculation gives -0.1098 eV per atom. Its total energy is -10.985 eV/atom. As for the magnetization: 20.56 μB/cell.

=====

[3]
DFT (PBE) results for a relaxed Pu8CuRh5 crystal.

Geometry as POSCAR:
```
Pu8CuRh5
1.0
6.9660 0.0000 -2.4652
-3.4426 6.0573 -2.4619
-0.0809 0.0000 7.3889
Pu Cu Rh
8 1 5
Direct
0.1229 0.7547 0.0192
0.9808 0.1038 0.7356
0.7606 0.2477 0.3729
0.6271 0.3877 0.8748
0.4871 0.6123 0.2394
0.6318 0.8962 0.8771
0.2644 0.2453 0.3682
0.1252 0.7523 0.5129
0.2500 0.5000 0.7500
0.0072 0.3798 0.1286
0.8714 0.8786 0.2512
0.7488 0.6202 0.6274
0.5000 0.0000 0.5000
0.3726 0.1214 0.9928
```

For the formation energy, the calculation gives -0.2923 eV per atom. Its total energy is -11.400 eV/atom. As for the magnetization: 42.26 μB/cell.

=====

[4]
DFT (PBE) results for a relaxed Pu8CuRh3 crystal.

Geometry as POSCAR:
```
Pu8CuRh3
1.0
-3.0121 6.0241 -0.5721
-2.8128 -1.9597 -5.8256
-2.4474 -4.3910 6.5803
Pu Cu Rh
8 1 3
Direct
0.3766 0.3766 0.2510
0.3766 0.8744 0.2510
0.1256 0.6234 0.7490
0.1256 0.1256 0.7490
0.8744 0.8744 0.2510
0.8744 0.3766 0.2510
0.6234 0.1256 0.7490
0.6234 0.6234 0.7490
0.0000 0.0000 0.0000
0.7500 0.2500 0.5000
0.5000 0.5000 0.0000
0.2500 0.7500 0.5000
```

For the formation energy, the calculation gives -0.0311 eV per atom. Its total energy is -11.765 eV/atom. As for the magnetization: 45.59 μB/cell.